[1]
A plane-wave DFT calculation with PBE was carried out for a relaxed structure of CeMnMoP2.

Unit cell a=3.892 b=3.892 c=6.294 alpha=108.01 beta=108.01 gamma=90.00
Fractional coordinates of all 5 atoms:
Ce: 0.000 0.000 0.000
Mo: 0.250 0.750 0.500
Mn: 0.750 0.250 0.500
P: 0.627 0.627 0.255
P: 0.373 0.373 0.745

Output
**SG**: No. 119
**Total moment**: 3.3 Bohr magnetons per cell
**DFT formation energy**: -793.5 meV per atom


[2]
A plane-wave DFT calculation with PBE was carried out for a relaxed structure of Ce5MnN8.

Unit cell a=6.390 b=6.390 c=6.390 alpha=110.15 beta=108.12 gamma=110.15
Fractional coordinates of all 14 atoms:
N: 0.146 0.717 0.952
N: 0.048 0.194 0.765
N: 0.528 0.645 0.307
N: 0.235 0.283 0.429
N: 0.571 0.806 0.854
N: 0.693 0.221 0.338
N: 0.117 0.779 0.472
N: 0.662 0.355 0.883
Ce: 0.036 0.409 0.129
Ce: 0.500 0.000 0.500
Ce: 0.871 0.907 0.280
Ce: 0.720 0.591 0.626
Ce: 0.374 0.093 0.964
Mn: 0.250 0.500 0.750

Output
**SG**: No. 82
**Total moment**: 3.0 Bohr magnetons per cell
**Formation energy without anion corrections**: -0.970 eV/atom